Entry 1:
Compound: P2Ru2SeN
Source: Alexandria
Functional: GGA-PBE
Structure: relaxed

Cell lengths 3.097, 5.395, 5.419 Å; angles 93.78, 95.17, 94.43 degrees
Space group P1 (No. 1)
Asymmetric unit:
P (0.000, 0.000, 0.000) x1
P (0.427, 0.254, 0.579) x1
Ru (0.411, 0.361, 0.170) x1
Ru (0.424, 0.854, 0.711) x1
Se (0.992, 0.696, 0.304) x1
N (0.409, 0.475, 0.795) x1

Calculated values
The value obtained for the density of states at the Fermi level is 0.492 states/eV per atom. The excess energy over the best structure of this formula in the dataset is 0.83 eV/f.u.

***

Entry 2:
Compound: GaMoRh3
Source: Alexandria
Functional: GGA-PBE
Structure: relaxed

Cell lengths 4.466, 4.466, 4.466 Å; angles 90.00, 90.00, 90.00 degrees
Space group Pm-3m (No. 221)
Asymmetric unit:
Ga (0.000, 0.000, 0.000) x1
Mo (0.500, 0.500, 0.500) x1
Rh (0.000, 0.000, 0.500) x3

Calculated values
The value obtained for the density of states at the Fermi level is 0.941 states/eV per atom. The excess energy over the best structure of this formula in the dataset is 0.00 eV/f.u. For the energy of formation, the calculation gives 0.92 eV/atom.

***

Entry 3:
Compound: FeRu2Se
Source: Alexandria
Functional: GGA-PBE
Structure: relaxed

Cell lengths 2.912, 2.912, 6.577 Å; angles 90.00, 90.00, 90.00 degrees
Space group P4mm (No. 99)
Asymmetric unit:
Fe (0.000, 0.000, 0.000) x1
Ru (0.000, 0.000, 0.520) x1
Ru (0.500, 0.500, 0.257) x1
Se (0.500, 0.500, 0.775) x1

Calculated values
The value obtained for the density of states at the Fermi level is 0.870 states/eV per atom. For the total energy, the calculation gives -7.370 eV per atom.

***

Entry 4:
Compound: Li2MgTa
Source: Alexandria
Functional: GGA-PBE
Structure: relaxed

Cell lengths 2.674, 4.868, 5.648 Å; angles 90.00, 93.66, 90.00 degrees
Space group P2/m (No. 10)
Asymmetric unit:
Li (0.119, 0.000, 0.234) x2
Mg (0.000, 0.500, 0.500) x1
Ta (0.500, 0.500, 0.000) x1

Calculated values
The value obtained for the density of states at the Fermi level is 0.728 states/eV per atom. For the energy of formation, the calculation gives 0.36 eV/atom.